(1)
Compound: Y3Tm5Te12
Source: the Alexandria database
Functional: GGA-PBE
Structure: relaxed

The structure belongs to space group Ia-3d (No. 230); the cell edges are 18.020, 18.020 and 18.020 Å and the angles 90.00°, 90.00° and 90.00°. The distinct sites, in fractional coordinates, are Y at (0.000, 0.250, 0.125), Tm at (0.000, 0.000, 0.000), Tm at (0.000, 0.250, 0.375) and Te at (0.023, 0.072, 0.652).

The theoretical density is 6.00 Mg/m³. For the total energy, the calculation gives -5.111 eV/atom. Its uncorrected formation energy is -1139 meV per atom.

***

(2)
Compound: Hg7Sb6
Source: the Alexandria database
Functional: GGA-PBE
Structure: relaxed

The structure belongs to space group R-3m (No. 166, hexagonal axes); the cell edges are 7.3786, 7.3786 and 29.7823 Å and the angles 90.00°, 90.00° and 120.00°. The distinct sites, in fractional coordinates, are Hg at (0.0000, 0.0000, 0.0000), Hg at (0.0092, 0.5046, 0.4174), Sb at (0.0000, 0.0000, 0.1415), Sb at (0.0000, 0.0000, 0.3113) and Sb at (0.0000, 0.0000, 0.4568).

The theoretical density is 7.57 Mg/m³. For the total energy, the calculation gives -1.866 eV/atom. Its uncorrected formation energy is 199 meV per atom. For the density of states at the Fermi level, the calculation gives 20.354 states/eV/cell.

***

(3)
Compound: Nd5In2Ga2
Source: the Alexandria database
Functional: GGA-PBE
Structure: relaxed

The structure belongs to space group Cmce (No. 64); the cell edges are 16.618, 8.090 and 7.909 Å and the angles 90.00°, 90.00° and 90.00°. The distinct sites, in fractional coordinates, are Nd at (0.000, 0.000, 0.000), Nd at (0.131, 0.192, 0.319), In at (0.222, 0.000, 0.000) and Ga at (0.000, 0.113, 0.615).

The theoretical density is 6.81 Mg/m³. For the total energy, the calculation gives -4.370 eV/atom. The value obtained for the energy of formation from the pure elements is -440 meV per atom. For the density of states at the Fermi level, the calculation gives 32.793 states/eV/cell.

***

(4)
Compound: K2PbAu
Source: the Alexandria database
Functional: GGA-PBE
Structure: relaxed

The structure belongs to space group C2 (No. 5); the cell edges are 11.285, 6.608 and 4.890 Å and the angles 90.00°, 115.60° and 90.00°. The distinct sites, in fractional coordinates, are K at (0.192, 0.000, 0.192), Pb at (0.000, 0.508, 0.000) and Au at (0.000, 0.707, 0.500).

The theoretical density is 4.87 Mg/m³. For the total energy, the calculation gives -2.487 eV/atom. The value obtained for the energy of formation from the pure elements is -192 meV per atom. For the density of states at the Fermi level, the calculation gives 6.949 states/eV/cell.

***

(5)
Compound: La2CrHg
Source: the Alexandria database
Functional: GGA-PBE
Structure: relaxed

The structure belongs to space group Pmmm (No. 47); the cell edges are 3.835, 3.849 and 7.684 Å and the angles 90.00°, 90.00° and 90.00°. The distinct sites, in fractional coordinates, are La at (0.000, 0.000, 0.238), Cr at (0.500, 0.500, 0.000) and Hg at (0.500, 0.500, 0.500).

The theoretical density is 7.77 Mg/m³. For the total energy, the calculation gives -4.954 eV/atom. The value obtained for the energy of formation from the pure elements is -9 meV per atom. For the density of states at the Fermi level, the calculation gives 3.516 states/eV/cell.

***

(6)
Compound: AcAlSi
Source: the Alexandria database
Functional: GGA-PBE
Structure: relaxed

The structure belongs to space group Pnma (No. 62); the cell edges are 5.849, 4.383 and 11.903 Å and the angles 90.00°, 90.00° and 90.00°. The distinct sites, in fractional coordinates, are Ac at (0.138, 0.250, 0.136), Al at (0.139, 0.750, 0.358) and Si at (0.143, 0.250, 0.466).

The theoretical density is 6.14 Mg/m³. For the total energy, the calculation gives -4.811 eV/atom. Its uncorrected formation energy is -387 meV per atom. For the density of states at the Fermi level, the calculation gives 3.777 states/eV/cell.

***

(7)
Compound: KNb2Rh
Source: the Alexandria database
Functional: GGA-PBE
Structure: relaxed

The structure belongs to space group Fm-3m (No. 225); the cell edges are 6.654, 6.654 and 6.654 Å and the angles 90.00°, 90.00° and 90.00°. The distinct sites, in fractional coordinates, are K at (0.000, 0.000, 0.000), Nb at (0.250, 0.250, 0.250) and Rh at (0.000, 0.000, 0.500).

The theoretical density is 7.39 Mg/m³. For the total energy, the calculation gives -6.130 eV/atom. The value obtained for the energy of formation from the pure elements is 1017 meV per atom. For the density of states at the Fermi level, the calculation gives 14.219 states/eV/cell.

***

(8)
Compound: Tc2PBr
Source: the Alexandria database
Functional: GGA-PBE
Structure: relaxed

The structure belongs to space group Cmm2 (No. 35); the cell edges are 2.985, 5.002 and 9.957 Å and the angles 90.00°, 90.00° and 90.00°. The distinct sites, in fractional coordinates, are Tc at (0.000, 0.000, 0.000), Tc at (0.000, 0.500, 0.225), P at (0.000, 0.500, 0.817) and Br at (0.000, 0.000, 0.442).

The theoretical density is 6.86 Mg/m³. For the total energy, the calculation gives -6.417 eV/atom. Its uncorrected formation energy is 536 meV per atom. For the density of states at the Fermi level, the calculation gives 9.118 states/eV/cell.

***

(9)
Compound: Mg6Ga2Ru
Source: the Alexandria database
Functional: GGA-PBE
Structure: relaxed

The structure belongs to space group P4_2/mnm (No. 136); the cell edges are 6.810, 6.810 and 9.288 Å and the angles 90.00°, 90.00° and 90.00°. The distinct sites, in fractional coordinates, are Mg at (0.220, 0.220, 0.000), Mg at (0.237, 0.237, 0.346), Ga at (0.000, 0.000, 0.216) and Ru at (0.000, 0.000, 0.500).

The theoretical density is 2.98 Mg/m³. For the total energy, the calculation gives -2.641 eV/atom. The value obtained for the energy of formation from the pure elements is 125 meV per atom. For the density of states at the Fermi level, the calculation gives 6.524 states/eV/cell.

***

(10)
Compound: Rb5TlSe4
Source: the Alexandria database
Functional: GGA-PBE
Structure: relaxed

The structure belongs to space group Pmmn (No. 59, origin choice 2); the cell edges are 10.201, 10.678 and 8.218 Å and the angles 90.00°, 90.00° and 90.00°. The distinct sites, in fractional coordinates, are Rb at (0.008, 0.053, 0.238), Rb at (0.250, 0.750, 0.344), Tl at (0.250, 0.250, 0.718), Se at (0.025, 0.250, 0.900) and Se at (0.250, 0.036, 0.529).

The theoretical density is 3.52 Mg/m³. For the total energy, the calculation gives -3.040 eV/atom. Its uncorrected formation energy is -926 meV per atom.

***

(11)
Compound: AcCeSe2S
Source: the Alexandria database
Functional: GGA-PBE
Structure: relaxed

The structure belongs to space group P4/nmm (No. 129, origin choice 2); the cell edges are 4.373, 4.373 and 15.139 Å and the angles 90.00°, 90.00° and 90.00°. The distinct sites, in fractional coordinates, are Ac at (0.250, 0.250, 0.128), Ce at (0.250, 0.250, 0.603), Se at (0.250, 0.250, 0.402), Se at (0.250, 0.250, 0.790) and S at (0.250, 0.750, 0.000).

The theoretical density is 6.39 Mg/m³. For the total energy, the calculation gives -6.026 eV/atom. Its uncorrected formation energy is -1798 meV per atom. For the density of states at the Fermi level, the calculation gives 17.803 states/eV/cell.

***

(12)
Compound: CuNi2HPd
Source: the Alexandria database
Functional: GGA-PBE
Structure: relaxed

The structure belongs to space group P4/mmm (No. 123); the cell edges are 3.662, 3.662 and 3.830 Å and the angles 90.00°, 90.00° and 90.00°. The distinct sites, in fractional coordinates, are Cu at (0.000, 0.000, 0.000), Ni at (0.000, 0.500, 0.500), H at (0.000, 0.000, 0.500) and Pd at (0.500, 0.500, 0.000).

The theoretical density is 9.32 Mg/m³. For the total energy, the calculation gives -4.823 eV/atom. For the density of states at the Fermi level, the calculation gives 4.130 states/eV/cell.

***

(13)
Compound: AgPd3Au2
Source: the Alexandria database
Functional: GGA-PBE
Structure: relaxed

The structure belongs to space group Cmmm (No. 65); the cell edges are 4.081, 12.255 and 7.977 Å and the angles 90.00°, 90.00° and 90.00°. The distinct sites, in fractional coordinates, are Ag at (0.000, 0.167, 0.000), Pd at (0.000, 0.000, 0.249), Pd at (0.000, 0.334, 0.250), Au at (0.000, 0.167, 0.500), Au at (0.000, 0.500, 0.000) and Au at (0.000, 0.500, 0.500).

The theoretical density is 13.67 Mg/m³. For the total energy, the calculation gives -4.220 eV/atom. The value obtained for the energy of formation from the pure elements is -56 meV per atom. For the density of states at the Fermi level, the calculation gives 16.195 states/eV/cell.

***

(14)
Compound: ErZnF5
Source: the Alexandria database
Functional: GGA-PBE
Structure: relaxed

The structure belongs to space group C2/c (No. 15); the cell edges are 8.992, 6.737 and 7.521 Å and the angles 90.00°, 114.30° and 90.00°. The distinct sites, in fractional coordinates, are Er at (0.000, 0.053, 0.250), Zn at (0.000, 0.500, 0.000), F at (0.000, 0.384, 0.250), F at (0.009, 0.183, 0.963) and F at (0.242, 0.474, 0.626).

The theoretical density is 5.24 Mg/m³. For the total energy, the calculation gives -5.517 eV/atom. Its uncorrected formation energy is -3346 meV per atom. For the density of states at the Fermi level, the calculation gives 0.000 states/eV/cell.

***

(15)
Compound: NaSr2Sb2
Source: the Alexandria database
Functional: GGA-PBE
Structure: relaxed

The structure belongs to space group P4/mbm (No. 127); the cell edges are 9.446, 9.446 and 3.947 Å and the angles 90.00°, 90.00° and 90.00°. The distinct sites, in fractional coordinates, are Na at (0.000, 0.000, 0.000), Sr at (0.136, 0.364, 0.500) and Sb at (0.165, 0.665, 0.000).

The theoretical density is 4.17 Mg/m³. For the total energy, the calculation gives -3.359 eV/atom. Its uncorrected formation energy is -773 meV per atom. For the density of states at the Fermi level, the calculation gives 1.698 states/eV/cell.

***

(16)
Compound: PPt3I
Source: the Alexandria database
Functional: GGA-PBE
Structure: relaxed

The structure belongs to space group Pm-3m (No. 221); the cell edges are 4.971, 4.971 and 4.971 Å and the angles 90.00°, 90.00° and 90.00°. The distinct sites, in fractional coordinates, are P at (0.000, 0.000, 0.000), Pt at (0.000, 0.500, 0.500) and I at (0.500, 0.500, 0.500).

The theoretical density is 10.05 Mg/m³. For the total energy, the calculation gives -3.464 eV/atom. Its uncorrected formation energy is 1553 meV per atom. For the density of states at the Fermi level, the calculation gives 9.237 states/eV/cell.

***

(17)
Compound: Ag2TeI
Source: the Alexandria database
Functional: GGA-PBE
Structure: relaxed

The structure belongs to space group P1 (No. 1); the cell edges are 6.522, 6.619 and 6.813 Å and the angles 66.20°, 73.49° and 76.13°. The distinct sites, in fractional coordinates, are Ag at (0.000, 0.000, 0.000), Ag at (0.088, 0.797, 0.588), Ag at (0.427, 0.858, 0.757), Ag at (0.851, 0.617, 0.381), Te at (0.304, 0.657, 0.208), Te at (0.494, 0.940, 0.316), I at (0.757, 0.157, 0.654) and I at (0.983, 0.438, 0.987).

The theoretical density is 6.11 Mg/m³. For the total energy, the calculation gives -2.699 eV/atom. Its uncorrected formation energy is -101 meV per atom.

***

(18)
Compound: LaZn2Te
Source: the Alexandria database
Functional: GGA-PBE
Structure: relaxed

The structure belongs to space group R-3m (No. 166, hexagonal axes); the cell edges are 4.7948, 4.7948 and 15.2372 Å and the angles 90.00°, 90.00° and 120.00°. The distinct sites, in fractional coordinates, are La at (0.0000, 0.0000, 0.0000), Zn at (0.0000, 0.0000, 0.2369) and Te at (0.0000, 0.0000, 0.5000).

The theoretical density is 6.52 Mg/m³. For the total energy, the calculation gives -2.973 eV/atom. Its uncorrected formation energy is -319 meV per atom. For the density of states at the Fermi level, the calculation gives 7.464 states/eV/cell.

***

(19)
Compound: Zn6CdAg3
Source: the Alexandria database
Functional: GGA-PBE
Structure: relaxed

The structure belongs to space group P2_1/m (No. 11); the cell edges are 7.520, 4.492 and 10.209 Å and the angles 90.00°, 107.86° and 90.00°. The distinct sites, in fractional coordinates, are Zn at (0.004, 0.250, 0.174), Zn at (0.010, 0.250, 0.675), Zn at (0.184, 0.250, 0.465), Zn at (0.198, 0.750, 0.128), Zn at (0.394, 0.250, 0.250), Zn at (0.399, 0.750, 0.936), Cd at (0.394, 0.750, 0.424), Ag at (0.186, 0.250, 0.966), Ag at (0.200, 0.750, 0.633) and Ag at (0.410, 0.250, 0.780).

The theoretical density is 8.38 Mg/m³. For the total energy, the calculation gives -1.719 eV/atom. The value obtained for the energy of formation from the pure elements is -8 meV per atom. For the density of states at the Fermi level, the calculation gives 2.578 states/eV/cell.